## P
A relaxed BeCuBr2 crystal, computed with PBE-GGA.

V: 25.0 A^3/atom

```
data_BeCuBr2
_chemical_formula_sum 'Be3 Cu3 Br6'
_space_group_name_H-M_alt 'R -3 m'
_space_group_IT_number 166
_space_group_name_Hall '-R 3 2"'
_cell_length_a 3.3566
_cell_length_b 3.3566
_cell_length_c 30.7284
_cell_angle_alpha 90.00
_cell_angle_beta 90.00
_cell_angle_gamma 120.00
loop_
_atom_site_label
_atom_site_fract_x
_atom_site_fract_y
_atom_site_fract_z
Be1 0.0000 0.0000 0.0000
Cu1 0.0000 0.0000 0.5000
Br1 0.0000 0.0000 0.3788
```

=====

## Q
A relaxed BeCuBr2 crystal, computed with PBE-GGA.

V: 28.0 A^3/atom

```
data_BeCuBr2
_chemical_formula_sum 'Be2 Cu2 Br4'
_space_group_name_H-M_alt 'C m m m'
_space_group_IT_number 65
_space_group_name_Hall '-C 2 2'
_cell_length_a 3.213
_cell_length_b 6.634
_cell_length_c 10.498
_cell_angle_alpha 90.00
_cell_angle_beta 90.00
_cell_angle_gamma 90.00
loop_
_atom_site_label
_atom_site_fract_x
_atom_site_fract_y
_atom_site_fract_z
Be1 0.000 0.000 0.000
Cu1 0.000 0.000 0.500
Br1 0.000 0.500 0.151
```

=====

Most stable to least stable: P, Q

=====

## P
A relaxed BeCuBr2 crystal, computed with PBE-GGA.

V: 23.5 A^3/atom

```
data_BeCuBr2
_chemical_formula_sum 'Be1 Cu1 Br2'
_space_group_name_H-M_alt 'P m m m'
_space_group_IT_number 47
_space_group_name_Hall '-P 2 2'
_cell_length_a 3.576
_cell_length_b 3.576
_cell_length_c 7.346
_cell_angle_alpha 90.00
_cell_angle_beta 90.00
_cell_angle_gamma 90.00
loop_
_atom_site_label
_atom_site_fract_x
_atom_site_fract_y
_atom_site_fract_z
Be1 0.000 0.000 0.000
Cu1 0.000 0.500 0.500
Br1 0.500 0.000 0.500
Br2 0.500 0.500 0.000
```

=====

## Q
A relaxed BeCuBr2 crystal, computed with PBE-GGA.

V: 23.3 A^3/atom

```
data_BeCuBr2
_chemical_formula_sum 'Be2 Cu2 Br4'
_space_group_name_H-M_alt 'I m m m'
_space_group_IT_number 71
_space_group_name_Hall '-I 2 2'
_cell_length_a 3.394
_cell_length_b 7.376
_cell_length_c 7.453
_cell_angle_alpha 90.00
_cell_angle_beta 90.00
_cell_angle_gamma 90.00
loop_
_atom_site_label
_atom_site_fract_x
_atom_site_fract_y
_atom_site_fract_z
Be1 0.000 0.000 0.000
Cu1 0.000 0.000 0.500
Br1 0.000 0.500 0.280
```

=====

## R
A relaxed BeCuBr2 crystal, computed with PBE-GGA.

V: 25.8 A^3/atom

```
data_BeCuBr2
_chemical_formula_sum 'Be1 Cu1 Br2'
_space_group_name_H-M_alt 'P 1 m 1'
_space_group_IT_number 6
_space_group_name_Hall 'P -2y'
_cell_length_a 5.074
_cell_length_b 3.343
_cell_length_c 6.193
_cell_angle_alpha 90.00
_cell_angle_beta 100.56
_cell_angle_gamma 90.00
loop_
_atom_site_label
_atom_site_fract_x
_atom_site_fract_y
_atom_site_fract_z
Be1 0.000 0.000 0.000
Cu1 0.711 0.500 0.128
Br1 0.380 0.000 0.236
Br2 0.980 0.500 0.757
```

=====

## S
A relaxed BeCuBr2 crystal, computed with PBE-GGA.

V: 18.4 A^3/atom

```
data_BeCuBr2
_chemical_formula_sum 'Be4 Cu4 Br8'
_space_group_name_H-M_alt 'F m -3 m'
_space_group_IT_number 225
_space_group_name_Hall '-F 4 2 3'
_cell_length_a 6.656
_cell_length_b 6.656
_cell_length_c 6.656
_cell_angle_alpha 90.00
_cell_angle_beta 90.00
_cell_angle_gamma 90.00
loop_
_atom_site_label
_atom_site_fract_x
_atom_site_fract_y
_atom_site_fract_z
Be1 0.000 0.000 0.000
Cu1 0.000 0.000 0.500
Br1 0.250 0.250 0.250
```

=====

Most stable to least stable: R, Q, P, S

=====

## P
A relaxed BeBrN2F crystal, computed with PBE-GGA.

V: 12.7 A^3/atom

```
data_BeBrN2F
_chemical_formula_sum 'Be1 Br1 N2 F1'
_space_group_name_H-M_alt 'P 4/m m m'
_space_group_IT_number 123
_space_group_name_Hall '-P 4 2'
_cell_length_a 3.862
_cell_length_b 3.862
_cell_length_c 4.258
_cell_angle_alpha 90.00
_cell_angle_beta 90.00
_cell_angle_gamma 90.00
loop_
_atom_site_label
_atom_site_fract_x
_atom_site_fract_y
_atom_site_fract_z
Be1 0.000 0.000 0.000
Br1 0.500 0.500 0.500
N1 0.000 0.500 0.500
F1 0.500 0.500 0.000
```

=====

## Q
A relaxed BeBrN2F crystal, computed with PBE-GGA.

V: 9.8 A^3/atom

```
data_BeBrN2F
_chemical_formula_sum 'Be1 Br1 N2 F1'
_space_group_name_H-M_alt 'P 4/m m m'
_space_group_IT_number 123
_space_group_name_Hall '-P 4 2'
_cell_length_a 3.823
_cell_length_b 3.823
_cell_length_c 3.349
_cell_angle_alpha 90.00
_cell_angle_beta 90.00
_cell_angle_gamma 90.00
loop_
_atom_site_label
_atom_site_fract_x
_atom_site_fract_y
_atom_site_fract_z
Be1 0.000 0.000 0.000
Br1 0.500 0.500 0.500
N1 0.000 0.500 0.000
F1 0.000 0.000 0.500
```

=====

Most stable to least stable: Q, P

=====

## P
A relaxed BeSeBr2F crystal, computed with PBE-GGA.

V: 24.2 A^3/atom

```
data_BeSeBr2F
_chemical_formula_sum 'Be1 Se1 Br2 F1'
_space_group_name_H-M_alt 'P 4/m m m'
_space_group_IT_number 123
_space_group_name_Hall '-P 4 2'
_cell_length_a 5.577
_cell_length_b 5.577
_cell_length_c 3.886
_cell_angle_alpha 90.00
_cell_angle_beta 90.00
_cell_angle_gamma 90.00
loop_
_atom_site_label
_atom_site_fract_x
_atom_site_fract_y
_atom_site_fract_z
Be1 0.000 0.000 0.000
Se1 0.500 0.500 0.000
Br1 0.000 0.500 0.500
F1 0.500 0.500 0.500
```

=====

## Q
A relaxed BeSeBr2F crystal, computed with PBE-GGA.

V: 20.3 A^3/atom

```
data_BeSeBr2F
_chemical_formula_sum 'Be1 Se1 Br2 F1'
_space_group_name_H-M_alt 'P 4/m m m'
_space_group_IT_number 123
_space_group_name_Hall '-P 4 2'
_cell_length_a 4.664
_cell_length_b 4.664
_cell_length_c 4.659
_cell_angle_alpha 90.00
_cell_angle_beta 90.00
_cell_angle_gamma 90.00
loop_
_atom_site_label
_atom_site_fract_x
_atom_site_fract_y
_atom_site_fract_z
Be1 0.000 0.000 0.000
Se1 0.000 0.000 0.500
Br1 0.000 0.500 0.000
F1 0.500 0.500 0.500
```

=====

Most stable to least stable: Q, P

=====

## P
A relaxed BeSe2BrF crystal, computed with PBE-GGA.

V: 19.1 A^3/atom

```
data_BeSe2BrF
_chemical_formula_sum 'Be1 Se2 Br1 F1'
_space_group_name_H-M_alt 'P 4/m m m'
_space_group_IT_number 123
_space_group_name_Hall '-P 4 2'
_cell_length_a 4.523
_cell_length_b 4.523
_cell_length_c 4.659
_cell_angle_alpha 90.00
_cell_angle_beta 90.00
_cell_angle_gamma 90.00
loop_
_atom_site_label
_atom_site_fract_x
_atom_site_fract_y
_atom_site_fract_z
Be1 0.000 0.000 0.000
Se1 0.000 0.500 0.000
Br1 0.000 0.000 0.500
F1 0.500 0.500 0.500
```

=====

## Q
A relaxed BeSe2BrF crystal, computed with PBE-GGA.

V: 22.8 A^3/atom

```
data_BeSe2BrF
_chemical_formula_sum 'Be1 Se2 Br1 F1'
_space_group_name_H-M_alt 'P 4/m m m'
_space_group_IT_number 123
_space_group_name_Hall '-P 4 2'
_cell_length_a 4.253
_cell_length_b 4.253
_cell_length_c 6.301
_cell_angle_alpha 90.00
_cell_angle_beta 90.00
_cell_angle_gamma 90.00
loop_
_atom_site_label
_atom_site_fract_x
_atom_site_fract_y
_atom_site_fract_z
Be1 0.000 0.000 0.000
Se1 0.000 0.500 0.500
Br1 0.500 0.500 0.000
F1 0.500 0.500 0.500
```

=====

Most stable to least stable: P, Q

=====

## P
A relaxed BeFeBr crystal, computed with PBE-GGA.

V: 14.7 A^3/atom

```
data_BeFeBr
_chemical_formula_sum 'Be4 Fe4 Br4'
_space_group_name_H-M_alt 'F -4 3 m'
_space_group_IT_number 216
_space_group_name_Hall 'F -4 2 3'
_cell_length_a 5.610
_cell_length_b 5.610
_cell_length_c 5.610
_cell_angle_alpha 90.00
_cell_angle_beta 90.00
_cell_angle_gamma 90.00
loop_
_atom_site_label
_atom_site_fract_x
_atom_site_fract_y
_atom_site_fract_z
Be1 0.000 0.000 0.000
Fe1 0.250 0.250 0.750
Br1 0.000 0.000 0.500
```

=====

## Q
A relaxed BeFeBr crystal, computed with PBE-GGA.

V: 15.4 A^3/atom

```
data_BeFeBr
_chemical_formula_sum 'Be1 Fe1 Br1'
_space_group_name_H-M_alt 'P 3 m 1'
_space_group_IT_number 156
_space_group_name_Hall 'P 3 -2"'
_cell_length_a 3.1396
_cell_length_b 3.1396
_cell_length_c 5.4010
_cell_angle_alpha 90.00
_cell_angle_beta 90.00
_cell_angle_gamma 120.00
loop_
_atom_site_label
_atom_site_fract_x
_atom_site_fract_y
_atom_site_fract_z
Be1 0.0000 0.0000 0.0000
Fe1 0.3333 0.6667 0.7090
Br1 0.6667 0.3333 0.3536
```

=====

## R
A relaxed BeFeBr crystal, computed with PBE-GGA.

V: 16.4 A^3/atom

```
data_BeFeBr
_chemical_formula_sum 'Be4 Fe4 Br4'
_space_group_name_H-M_alt 'F m m 2'
_space_group_IT_number 42
_space_group_name_Hall 'F 2 -2'
_cell_length_a 3.104
_cell_length_b 5.550
_cell_length_c 11.416
_cell_angle_alpha 90.00
_cell_angle_beta 90.00
_cell_angle_gamma 90.00
loop_
_atom_site_label
_atom_site_fract_x
_atom_site_fract_y
_atom_site_fract_z
Be1 0.000 0.000 0.000
Fe1 0.000 0.000 0.353
Br1 0.000 0.000 0.648
```

=====

## S
A relaxed BeFeBr crystal, computed with PBE-GGA.

V: 16.3 A^3/atom

```
data_BeFeBr
_chemical_formula_sum 'Be4 Fe4 Br4'
_space_group_name_H-M_alt 'F -4 3 m'
_space_group_IT_number 216
_space_group_name_Hall 'F -4 2 3'
_cell_length_a 5.809
_cell_length_b 5.809
_cell_length_c 5.809
_cell_angle_alpha 90.00
_cell_angle_beta 90.00
_cell_angle_gamma 90.00
loop_
_atom_site_label
_atom_site_fract_x
_atom_site_fract_y
_atom_site_fract_z
Be1 0.000 0.000 0.000
Fe1 0.250 0.250 0.750
Br1 0.250 0.250 0.250
```

=====

Most stable to least stable: Q, R, P, S

=====

## P
A relaxed BeFeBr crystal, computed with PBE-GGA.

V: 18.0 A^3/atom

```
data_BeFeBr
_chemical_formula_sum 'Be2 Fe2 Br2'
_space_group_name_H-M_alt 'I 4 m m'
_space_group_IT_number 107
_space_group_name_Hall 'I 4 -2'
_cell_length_a 3.051
_cell_length_b 3.051
_cell_length_c 11.628
_cell_angle_alpha 90.00
_cell_angle_beta 90.00
_cell_angle_gamma 90.00
loop_
_atom_site_label
_atom_site_fract_x
_atom_site_fract_y
_atom_site_fract_z
Be1 0.000 0.000 0.000
Fe1 0.000 0.000 0.414
Br1 0.000 0.000 0.779
```

=====

## Q
A relaxed BeFeBr crystal, computed with PBE-GGA.

V: 16.1 A^3/atom

```
data_BeFeBr
_chemical_formula_sum 'Be2 Fe2 Br2'
_space_group_name_H-M_alt 'C 1 m 1'
_space_group_IT_number 8
_space_group_name_Hall 'C -2y'
_cell_length_a 8.995
_cell_length_b 3.255
_cell_length_c 3.304
_cell_angle_alpha 90.00
_cell_angle_beta 90.16
_cell_angle_gamma 90.00
loop_
_atom_site_label
_atom_site_fract_x
_atom_site_fract_y
_atom_site_fract_z
Be1 0.000 0.000 0.000
Fe1 0.499 0.000 0.500
Br1 0.216 0.000 0.499
```

=====

Most stable to least stable: Q, P

=====

## P
A relaxed BeFeBr2 crystal, computed with PBE-GGA.

V: 19.5 A^3/atom

```
data_BeFeBr2
_chemical_formula_sum 'Be2 Fe2 Br4'
_space_group_name_H-M_alt 'I m m m'
_space_group_IT_number 71
_space_group_name_Hall '-I 2 2'
_cell_length_a 3.265
_cell_length_b 6.341
_cell_length_c 7.553
_cell_angle_alpha 90.00
_cell_angle_beta 90.00
_cell_angle_gamma 90.00
loop_
_atom_site_label
_atom_site_fract_x
_atom_site_fract_y
_atom_site_fract_z
Be1 0.000 0.000 0.000
Fe1 0.000 0.000 0.500
Br1 0.000 0.500 0.273
```

=====

## Q
A relaxed BeFeBr2 crystal, computed with PBE-GGA.

V: 21.2 A^3/atom

```
data_BeFeBr2
_chemical_formula_sum 'Be2 Fe2 Br4'
_space_group_name_H-M_alt 'C 1 2/m 1'
_space_group_IT_number 12
_space_group_name_Hall '-C 2y'
_cell_length_a 7.065
_cell_length_b 7.096
_cell_length_c 3.378
_cell_angle_alpha 90.00
_cell_angle_beta 90.75
_cell_angle_gamma 90.00
loop_
_atom_site_label
_atom_site_fract_x
_atom_site_fract_y
_atom_site_fract_z
Be1 0.000 0.000 0.000
Fe1 0.000 0.500 0.000
Br1 0.250 0.250 0.000
```

=====

Most stable to least stable: P, Q

=====

## P
A relaxed BeFeBr2 crystal, computed with PBE-GGA.

V: 18.1 A^3/atom

```
data_BeFeBr2
_chemical_formula_sum 'Be1 Fe1 Br2'
_space_group_name_H-M_alt 'P 4/m m m'
_space_group_IT_number 123
_space_group_name_Hall '-P 4 2'
_cell_length_a 3.274
_cell_length_b 3.274
_cell_length_c 6.754
_cell_angle_alpha 90.00
_cell_angle_beta 90.00
_cell_angle_gamma 90.00
loop_
_atom_site_label
_atom_site_fract_x
_atom_site_fract_y
_atom_site_fract_z
Be1 0.000 0.000 0.000
Fe1 0.000 0.000 0.500
Br1 0.500 0.500 0.254
```

=====

## Q
A relaxed BeFeBr2 crystal, computed with PBE-GGA.

V: 21.5 A^3/atom

```
data_BeFeBr2
_chemical_formula_sum 'Be3 Fe3 Br6'
_space_group_name_H-M_alt 'R -3 m'
_space_group_IT_number 166
_space_group_name_Hall '-R 3 2"'
_cell_length_a 3.3056
_cell_length_b 3.3056
_cell_length_c 27.2075
_cell_angle_alpha 90.00
_cell_angle_beta 90.00
_cell_angle_gamma 120.00
loop_
_atom_site_label
_atom_site_fract_x
_atom_site_fract_y
_atom_site_fract_z
Be1 0.0000 0.0000 0.0000
Fe1 0.0000 0.0000 0.5000
Br1 0.0000 0.0000 0.3850
```

=====

Most stable to least stable: Q, P

=====

## P
A relaxed BeFeBr2 crystal, computed with PBE-GGA.

V: 24.7 A^3/atom

```
data_BeFeBr2
_chemical_formula_sum 'Be3 Fe3 Br6'
_space_group_name_H-M_alt 'R -3 m'
_space_group_IT_number 166
_space_group_name_Hall '-R 3 2"'
_cell_length_a 3.2941
_cell_length_b 3.2941
_cell_length_c 31.5912
_cell_angle_alpha 90.00
_cell_angle_beta 90.00
_cell_angle_gamma 120.00
loop_
_atom_site_label
_atom_site_fract_x
_atom_site_fract_y
_atom_site_fract_z
Be1 0.0000 0.0000 0.0000
Fe1 0.0000 0.0000 0.5000
Br1 0.0000 0.0000 0.2888
```

=====

## Q
A relaxed BeFeBr2 crystal, computed with PBE-GGA.

V: 20.4 A^3/atom

```
data_BeFeBr2
_chemical_formula_sum 'Be1 Fe1 Br2'
_space_group_name_H-M_alt 'P 4 m m'
_space_group_IT_number 99
_space_group_name_Hall 'P 4 -2'
_cell_length_a 3.294
_cell_length_b 3.294
_cell_length_c 7.515
_cell_angle_alpha 90.00
_cell_angle_beta 90.00
_cell_angle_gamma 90.00
loop_
_atom_site_label
_atom_site_fract_x
_atom_site_fract_y
_atom_site_fract_z
Be1 0.000 0.000 0.000
Fe1 0.500 0.500 0.913
Br1 0.000 0.000 0.696
Br2 0.500 0.500 0.221
```

=====

Most stable to least stable: Q, P

=====

## P
A relaxed BeFeBr2 crystal, computed with PBE-GGA.

V: 20.6 A^3/atom

```
data_BeFeBr2
_chemical_formula_sum 'Be2 Fe2 Br4'
_space_group_name_H-M_alt 'C m m m'
_space_group_IT_number 65
_space_group_name_Hall '-C 2 2'
_cell_length_a 6.759
_cell_length_b 7.339
_cell_length_c 3.320
_cell_angle_alpha 90.00
_cell_angle_beta 90.00
_cell_angle_gamma 90.00
loop_
_atom_site_label
_atom_site_fract_x
_atom_site_fract_y
_atom_site_fract_z
Be1 0.000 0.000 0.000
Fe1 0.000 0.500 0.000
Br1 0.000 0.230 0.500
```

=====

## Q
A relaxed BeFeBr2 crystal, computed with PBE-GGA.

V: 19.5 A^3/atom

```
data_BeFeBr2
_chemical_formula_sum 'Be4 Fe4 Br8'
_space_group_name_H-M_alt 'F -4 3 m'
_space_group_IT_number 216
_space_group_name_Hall 'F -4 2 3'
_cell_length_a 6.785
_cell_length_b 6.785
_cell_length_c 6.785
_cell_angle_alpha 90.00
_cell_angle_beta 90.00
_cell_angle_gamma 90.00
loop_
_atom_site_label
_atom_site_fract_x
_atom_site_fract_y
_atom_site_fract_z
Be1 0.000 0.000 0.000
Fe1 0.250 0.250 0.750
Br1 0.000 0.000 0.500
Br2 0.250 0.250 0.250
```

=====

Most stable to least stable: P, Q

=====

## P
A relaxed BeFeBr2 crystal, computed with PBE-GGA.

V: 21.0 A^3/atom

```
data_BeFeBr2
_chemical_formula_sum 'Be1 Fe1 Br2'
_space_group_name_H-M_alt 'P m m m'
_space_group_IT_number 47
_space_group_name_Hall '-P 2 2'
_cell_length_a 3.416
_cell_length_b 3.734
_cell_length_c 6.594
_cell_angle_alpha 90.00
_cell_angle_beta 90.00
_cell_angle_gamma 90.00
loop_
_atom_site_label
_atom_site_fract_x
_atom_site_fract_y
_atom_site_fract_z
Be1 0.000 0.000 0.000
Fe1 0.500 0.000 0.500
Br1 0.000 0.500 0.500
Br2 0.500 0.500 0.000
```

=====

## Q
A relaxed BeFeBr2 crystal, computed with PBE-GGA.

V: 28.1 A^3/atom

```
data_BeFeBr2
_chemical_formula_sum 'Be2 Fe2 Br4'
_space_group_name_H-M_alt 'C m m m'
_space_group_IT_number 65
_space_group_name_Hall '-C 2 2'
_cell_length_a 3.188
_cell_length_b 6.421
_cell_length_c 10.983
_cell_angle_alpha 90.00
_cell_angle_beta 90.00
_cell_angle_gamma 90.00
loop_
_atom_site_label
_atom_site_fract_x
_atom_site_fract_y
_atom_site_fract_z
Be1 0.000 0.000 0.000
Fe1 0.000 0.000 0.500
Br1 0.000 0.500 0.144
```

=====

Most stable to least stable: Q, P